Entry 1:
ScInAu (PBE, optimized geometry); space group = No. 8
1.0
6.0679 0.9167 -0.2530
3.6396 4.9324 0.2605
-4.7198 -3.1430 2.3427
In Au Sc
1 1 1
Direct
0.3396 0.3394 0.0002
0.0080 0.0083 0.9997
0.6524 0.6523 0.0001


Entry 2:
ScIn2Au8 (PBE, optimized geometry); space group = No. 12; energy above the most stable polymorph in this dataset = 0.0000 eV/atom
1.0
4.1222 0.0000 0.0000
0.0000 6.7590 0.3259
-2.0611 -2.5456 7.3773
Au In Sc
8 2 1
Direct
0.3280 0.0923 0.6560
0.8637 0.8187 0.7274
0.1363 0.1813 0.2726
0.4054 0.5510 0.8109
0.9622 0.2709 0.9245
0.0378 0.7291 0.0755
0.6720 0.9077 0.3440
0.5946 0.4490 0.1891
0.2213 0.6590 0.4427
0.7787 0.3410 0.5573
0.5000 0.0000 0.0000


Entry 3:
Sc2InAu (PBE, optimized geometry); space group = No. 10
1.0
3.4719 0.0000 0.0000
0.0000 5.6674 0.0474
0.0000 3.9195 4.5845
Sc Au In
2 1 1
Direct
0.0000 0.0000 0.0000
0.5000 0.5000 0.0000
0.5000 0.5000 0.5000
0.0000 0.0000 0.5000


Entry 4:
Sc6InAu5 (PBE, optimized geometry); space group = No. 12
1.0
4.6398 0.0242 -1.3450
-0.9449 6.0489 -3.1499
-0.0549 0.4405 8.3870
Sc In Au
6 1 5
Direct
0.5000 0.7359 0.0000
0.5000 0.2641 0.0000
0.8283 0.0843 0.6574
0.8283 0.5731 0.6574
0.1717 0.9157 0.3426
0.1717 0.4269 0.3426
0.0000 0.0000 0.0000
0.0000 0.5000 0.0000
0.6684 0.6677 0.3354
0.6555 0.1540 0.3078
0.3316 0.3323 0.6646
0.3445 0.8460 0.6922


Entry 5:
ScIn2Au8 (PBE, optimized geometry); space group = No. 12; energy above the most stable polymorph in this dataset = 0.0731 eV/atom
1.0
-3.3954 0.1625 -1.9128
4.0767 1.8760 -6.6256
-0.7505 -7.8888 1.1135
Au Sc In
8 1 2
Direct
0.5000 0.2235 0.7765
0.5000 0.7765 0.2235
0.4858 0.6681 0.6681
0.9878 0.9491 0.7098
0.5142 0.3319 0.3319
0.0122 0.2902 0.0509
0.9878 0.7098 0.9491
0.0122 0.0509 0.2902
0.5000 0.0000 0.0000
0.0000 0.3716 0.6284
0.0000 0.6284 0.3716


Entry 6:
ScInAu4 (PBE, optimized geometry); space group = No. 216; energy above the most stable polymorph in this dataset = 0.1920 eV/atom
1.0
0.0000 3.9202 3.9202
3.9202 0.0000 3.9202
3.9202 3.9202 0.0000
Au Sc In
4 1 1
Direct
0.3748 0.3748 0.3748
0.3748 0.8755 0.3748
0.3748 0.3748 0.8755
0.8755 0.3748 0.3748
0.0000 0.0000 0.0000
0.7500 0.7500 0.7500


Entry 7:
Sc2InAu (PBE, optimized geometry); space group = No. 122
1.0
-4.8996 -3.9244 -4.4506
4.7677 0.8324 -5.9826
1.4073 -4.2846 -4.4236
Sc Au In
4 2 2
Direct
0.3750 0.3436 0.7500
0.8750 0.9064 0.7500
0.6564 0.1250 0.2500
0.0936 0.6250 0.2500
0.7500 0.2500 0.5000
0.0000 0.0000 0.0000
0.2500 0.7500 0.5000
0.5000 0.5000 0.0000


Entry 8:
ScInAu4 (PBE, optimized geometry); space group = No. 65; energy above the most stable polymorph in this dataset = 0.0005 eV/atom
1.0
4.9954 -0.0706 0.0399
0.0428 4.3663 2.4913
-0.0417 -0.0632 5.1837
Au Sc In
4 1 1
Direct
0.0013 0.8347 0.8296
0.0013 0.1689 0.1612
0.5013 0.3387 0.8218
0.5013 0.6651 0.1690
0.0013 0.5018 0.4954
0.5013 0.0019 0.4954


| no. | Fermi-level density of states (states/eV per cell) | uncorrected energy (eV per atom) | DFT formation energy (meV/atom) |
| --- | --- | --- | --- |
| 1 | 1.59 | -4.631 | -515 |
| 2 | 2.84 | -3.743 | -286 |
| 3 | 2.80 | -5.068 | -398 |
| 4 | 9.12 | -5.497 | -737 |
| 5 | 4.10 | -3.670 | -213 |
| 6 | 1.75 | -3.989 | -292 |
| 7 | 10.00 | -4.923 | -253 |
| 8 | 2.19 | -4.180 | -484 |